The following is a DFT calculation (PBE-GGA) of K2UCl7 after structural relaxation.

Values from the calculation:
Formation energy from raw total energies (eV per atom): -1.75
Total magnetic moment (μB/cell): 2.0
Space group: C2/c, No. 15

Unit cell a=9.141 b=9.141 c=12.404 alpha=120.34 beta=120.34 gamma=56.92
Positions (direct):
K: 0.166 0.271 0.348
K: 0.271 0.166 0.848
K: 0.729 0.834 0.152
K: 0.834 0.729 0.652
U: 0.376 0.624 0.250
U: 0.624 0.376 0.750
Cl: 0.073 0.927 0.250
Cl: 0.133 0.525 0.223
Cl: 0.251 0.508 0.651
Cl: 0.270 0.582 0.008
Cl: 0.418 0.730 0.492
Cl: 0.475 0.867 0.277
Cl: 0.492 0.749 0.849
Cl: 0.508 0.251 0.151
Cl: 0.525 0.133 0.723
Cl: 0.582 0.270 0.508
Cl: 0.730 0.418 0.992
Cl: 0.749 0.492 0.349
Cl: 0.867 0.475 0.777
Cl: 0.927 0.073 0.750

The following is a DFT calculation (PBE-GGA) of TbPm2MgTe5 after structural relaxation.

Values from the calculation:
Formation energy from raw total energies (eV per atom): -1.23
Total magnetic moment (μB/cell): 0.0
Space group: Cmc2_1, No. 36

Unit cell a=9.725 b=9.725 c=13.555 alpha=90.00 beta=90.00 gamma=154.20
Positions (direct):
Tb: 0.204 0.796 0.500
Tb: 0.796 0.204 0.000
Pm: 0.112 0.888 0.172
Pm: 0.134 0.866 0.791
Pm: 0.866 0.134 0.291
Pm: 0.888 0.112 0.672
Mg: 0.447 0.553 0.945
Mg: 0.553 0.447 0.445
Te: 0.049 0.951 0.565
Te: 0.283 0.717 0.160
Te: 0.312 0.688 0.836
Te: 0.365 0.635 0.488
Te: 0.495 0.505 0.265
Te: 0.505 0.495 0.765
Te: 0.635 0.365 0.988
Te: 0.688 0.312 0.336
Te: 0.717 0.283 0.660
Te: 0.951 0.049 0.065

The following is a DFT calculation (PBE-GGA) of Tl2Co2Cu after structural relaxation.

Values from the calculation:
Total magnetic moment (μB/cell): 4.0
Space group: P4/mbm, No. 127
Formation energy (meV per atom): 449

Unit cell a=6.421 b=6.421 c=4.040 alpha=90.00 beta=90.00 gamma=90.00
Positions (direct):
Tl: 0.177 0.323 0.000
Tl: 0.323 0.823 0.000
Tl: 0.677 0.177 0.000
Tl: 0.823 0.677 0.000
Co: 0.128 0.628 0.500
Co: 0.372 0.128 0.500
Co: 0.628 0.872 0.500
Co: 0.872 0.372 0.500
Cu: 0.000 0.000 0.500
Cu: 0.500 0.500 0.500

The following is a DFT calculation (PBE-GGA) of TbTiRh2 after structural relaxation.

Values from the calculation:
Total magnetic moment (μB/cell): 0.0
Space group: P4/mmm, No. 123
Formation energy (meV per atom): -752

Unit cell a=3.180 b=3.180 c=6.947 alpha=90.00 beta=90.00 gamma=90.00
Positions (direct):
Tb: 0.000 0.000 0.000
Ti: 0.000 0.000 0.500
Rh: 0.500 0.500 0.289
Rh: 0.500 0.500 0.711

The following is a DFT calculation (PBE-GGA) of Th2SbRh2 after structural relaxation.

Values from the calculation:
Formation energy from raw total energies (eV per atom): -0.98
Total magnetic moment (μB/cell): 0.0
Space group: P4/mbm, No. 127

Unit cell a=7.665 b=7.665 c=3.922 alpha=90.00 beta=90.00 gamma=90.00
Positions (direct):
Th: 0.175 0.325 0.000
Th: 0.325 0.825 0.000
Th: 0.675 0.175 0.000
Th: 0.825 0.675 0.000
Sb: 0.000 0.000 0.500
Sb: 0.500 0.500 0.500
Rh: 0.132 0.632 0.500
Rh: 0.368 0.132 0.500
Rh: 0.632 0.868 0.500
Rh: 0.868 0.368 0.500

The following is a DFT calculation (PBE-GGA) of YHo8Er4 after structural relaxation.

Values from the calculation:
Total magnetic moment (μB/cell): 0.0
Space group: R-3m, No. 166
Formation energy (meV per atom): 229

Unit cell a=9.951 b=9.951 c=9.951 alpha=42.53 beta=42.53 gamma=42.53
Positions (direct):
Y: 0.000 0.000 0.000
Ho: 0.251 0.251 0.697
Ho: 0.251 0.697 0.251
Ho: 0.284 0.284 0.284
Ho: 0.303 0.749 0.749
Ho: 0.697 0.251 0.251
Ho: 0.716 0.716 0.716
Ho: 0.749 0.303 0.749
Ho: 0.749 0.749 0.303
Er: 0.000 0.000 0.500
Er: 0.000 0.500 0.000
Er: 0.500 0.000 0.000
Er: 0.500 0.500 0.500

The following is a DFT calculation (PBE-GGA) of TbPr4Sc2 after structural relaxation.

Values from the calculation:
Total magnetic moment (μB/cell): 0.0
Space group: P2_1/m, No. 11
Formation energy (meV per atom): 182

Unit cell a=8.792 b=6.547 c=8.982 alpha=90.00 beta=118.26 gamma=90.00
Positions (direct):
Tb: 0.249 0.250 0.226
Tb: 0.751 0.750 0.774
Pr: 0.084 0.005 0.734
Pr: 0.084 0.495 0.734
Pr: 0.437 0.250 0.656
Pr: 0.494 0.750 0.936
Pr: 0.506 0.250 0.064
Pr: 0.563 0.750 0.344
Pr: 0.916 0.505 0.266
Pr: 0.916 0.995 0.266
Sc: 0.144 0.750 0.087
Sc: 0.300 0.750 0.503
Sc: 0.700 0.250 0.497
Sc: 0.856 0.250 0.913

The following is a DFT calculation (PBE-GGA) of BiSeN2F after structural relaxation.

Values from the calculation:
Formation energy from raw total energies (eV per atom): 1.67
Total magnetic moment (μB/cell): 1.1
Space group: P4/mmm, No. 123

Unit cell a=4.342 b=4.342 c=4.017 alpha=90.00 beta=90.00 gamma=90.00
Positions (direct):
Bi: 0.000 0.000 0.000
Se: 0.500 0.500 0.000
N: 0.000 0.500 0.500
N: 0.500 0.000 0.500
F: 0.500 0.500 0.500

The following is a DFT calculation (PBE-GGA) of HoNF after structural relaxation.

Values from the calculation:
Formation energy from raw total energies (eV per atom): -2.06
Total magnetic moment (μB/cell): 2.0
Space group: P4/nmm, No. 129

Unit cell a=3.452 b=3.452 c=6.179 alpha=90.00 beta=90.00 gamma=90.00
Positions (direct):
Ho: 0.250 0.250 0.235
Ho: 0.750 0.750 0.765
N: 0.250 0.250 0.860
N: 0.750 0.750 0.140
F: 0.250 0.750 0.500
F: 0.750 0.250 0.500

The following is a DFT calculation (PBE-GGA) of MoPbSe after structural relaxation.

Values from the calculation:
Formation energy from raw total energies (eV per atom): 0.60
Total magnetic moment (μB/cell): 7.6
Space group: F-43m, No. 216

Unit cell a=6.601 b=6.601 c=6.601 alpha=90.00 beta=90.00 gamma=90.00
Positions (direct):
Mo: 0.000 0.000 0.000
Mo: 0.000 0.500 0.500
Mo: 0.500 0.000 0.500
Mo: 0.500 0.500 0.000
Pb: 0.250 0.250 0.750
Pb: 0.250 0.750 0.250
Pb: 0.750 0.250 0.250
Pb: 0.750 0.750 0.750
Se: 0.250 0.250 0.250
Se: 0.250 0.750 0.750
Se: 0.750 0.250 0.750
Se: 0.750 0.750 0.250

The following is a DFT calculation (PBE-GGA) of Mg2Ga2CuPt5 after structural relaxation.

Values from the calculation:
Total magnetic moment (μB/cell): 0.0
Space group: P4/mbm, No. 127
Formation energy (meV per atom): -579

Unit cell a=9.366 b=9.366 c=3.684 alpha=90.00 beta=90.00 gamma=90.00
Positions (direct):
Mg: 0.171 0.329 0.000
Mg: 0.329 0.829 0.000
Mg: 0.671 0.171 0.000
Mg: 0.829 0.671 0.000
Ga: 0.131 0.631 0.000
Ga: 0.369 0.131 0.000
Ga: 0.631 0.869 0.000
Ga: 0.869 0.369 0.000
Cu: 0.000 0.000 0.000
Cu: 0.500 0.500 0.000
Pt: 0.000 0.500 0.500
Pt: 0.073 0.804 0.500
Pt: 0.196 0.073 0.500
Pt: 0.304 0.573 0.500
Pt: 0.427 0.304 0.500
Pt: 0.500 0.000 0.500
Pt: 0.573 0.696 0.500
Pt: 0.696 0.427 0.500
Pt: 0.804 0.927 0.500
Pt: 0.927 0.196 0.500

The following is a DFT calculation (PBE-GGA) of MnGePCN after structural relaxation.

Values from the calculation:
Formation energy from raw total energies (eV per atom): 0.21
Total magnetic moment (μB/cell): 1.6
Space group: Amm2, No. 38

Unit cell a=3.238 b=2.510 c=13.830 alpha=90.00 beta=90.00 gamma=90.00
Positions (direct):
Mn: 0.000 0.000 0.000
Mn: 0.000 0.500 0.500
Ge: 0.000 0.000 0.348
Ge: 0.000 0.500 0.848
P: 0.500 0.000 0.568
P: 0.500 0.500 0.068
C: 0.500 0.000 0.251
C: 0.500 0.500 0.751
N: 0.500 0.000 0.695
N: 0.500 0.500 0.195